# 1
# Pr6Nd8Mg, relaxed, DFT PBE-GGA
data_Pr6Nd8Mg
_cell_length_a 9.6158
_cell_length_b 9.6158
_cell_length_c 6.6238
_cell_angle_alpha 90.00
_cell_angle_beta 90.00
_cell_angle_gamma 120.00
_symmetry_space_group_name_H-M 'P -3'
_symmetry_Int_Tables_number 147
_symmetry_space_group_name_Hall '-P 3'
loop_
_atom_site_label
_atom_site_fract_x
_atom_site_fract_y
_atom_site_fract_z
Pr1 0.0907 0.4447 0.1721
Nd1 0.0393 0.2695 0.6804
Nd2 0.3333 0.6667 0.6379
Mg1 0.0000 0.0000 0.0000
# Calculated total energy in eV per formula unit: -66.8
# Energy of formation from the pure elements in eV per atom: 0.109
# N(E_F) in states/eV/atom: 1.271
# Crystal system: trigonal
# Calculated density in g/cm³: 6.34

# 2
# Ac2LaTeN2, relaxed, DFT PBE-GGA
data_Ac2LaTeN2
_cell_length_a 6.4841
_cell_length_b 6.1891
_cell_length_c 10.0389
_cell_angle_alpha 90.00
_cell_angle_beta 99.56
_cell_angle_gamma 90.00
_symmetry_space_group_name_H-M 'P 1 21/m 1'
_symmetry_Int_Tables_number 11
_symmetry_space_group_name_Hall '-P 2yb'
loop_
_atom_site_label
_atom_site_fract_x
_atom_site_fract_y
_atom_site_fract_z
Ac1 0.1617 0.2500 0.2302
Ac2 0.2216 0.2500 0.8063
La1 0.1633 0.7500 0.5062
Te1 0.2389 0.7500 0.0396
N1 0.0257 0.5010 0.6582
# Calculated total energy in eV per formula unit: -40.7
# N(E_F) in states/eV/atom: 0.082
# Crystal system: monoclinic
# ΔE_f (raw) in kJ/mol of atoms: -124
# Calculated density in g/cm³: 6.26

# 3
# Rb2SbS4, relaxed, DFT PBE-GGA
data_Rb2SbS4
_cell_length_a 10.0133
_cell_length_b 12.5282
_cell_length_c 8.8749
_cell_angle_alpha 90.00
_cell_angle_beta 90.00
_cell_angle_gamma 90.00
_symmetry_space_group_name_H-M 'F m m 2'
_symmetry_Int_Tables_number 42
_symmetry_space_group_name_Hall 'F 2 -2'
loop_
_atom_site_label
_atom_site_fract_x
_atom_site_fract_y
_atom_site_fract_z
Rb1 0.2500 0.2500 0.0000
Sb1 0.0000 0.0000 0.1161
S1 0.0000 0.1620 0.2462
S2 0.1525 0.0000 0.9098
# Energy relative to the lowest polymorph listed for this composition in eV/atom: 0.000
# Calculated total energy in eV per formula unit: -26.3
# Crystal system: orthorhombic
# ΔE_f (raw) in kJ/mol of atoms: -51
# Calculated density in g/cm³: 2.51

# 4
# LiRuW2, relaxed, DFT PBE-GGA
data_LiRuW2
_cell_length_a 5.2877
_cell_length_b 8.7221
_cell_length_c 2.6921
_cell_angle_alpha 90.00
_cell_angle_beta 107.94
_cell_angle_gamma 90.00
_symmetry_space_group_name_H-M 'C 1 2/m 1'
_symmetry_Int_Tables_number 12
_symmetry_space_group_name_Hall '-C 2y'
loop_
_atom_site_label
_atom_site_fract_x
_atom_site_fract_y
_atom_site_fract_z
Li1 0.0000 0.0000 0.0000
Ru1 0.0000 0.5000 0.0000
W1 0.2500 0.2500 0.5000
# Calculated total energy in eV per formula unit: -35.8
# Energy of formation from the pure elements in eV per atom: 0.316
# N(E_F) in states/eV/atom: 1.131
# Crystal system: monoclinic
# Calculated density in g/cm³: 13.37

# 5
# InGaTe4Au2, relaxed, DFT PBE-GGA
data_InGaTe4Au2
_cell_length_a 9.0542
_cell_length_b 9.0546
_cell_length_c 12.8046
_cell_angle_alpha 90.00
_cell_angle_beta 90.00
_cell_angle_gamma 90.00
_symmetry_space_group_name_H-M 'F m m 2'
_symmetry_Int_Tables_number 42
_symmetry_space_group_name_Hall 'F 2 -2'
loop_
_atom_site_label
_atom_site_fract_x
_atom_site_fract_y
_atom_site_fract_z
In1 0.0000 0.0000 0.0000
Ga1 0.0000 0.0000 0.5004
Te1 0.0000 0.2377 0.3720
Te2 0.2380 0.0000 0.6285
Au1 0.2500 0.2500 0.2502
# Calculated total energy in eV per formula unit: -26.7
# N(E_F) in states/eV/atom: 0.074
# Crystal system: orthorhombic
# ΔE_f (raw) in kJ/mol of atoms: -22
# Calculated density in g/cm³: 6.89

# 6
# CeEr2Cd, relaxed, DFT PBE-GGA
data_CeEr2Cd
_cell_length_a 3.5290
_cell_length_b 3.5290
_cell_length_c 8.8627
_cell_angle_alpha 90.00
_cell_angle_beta 90.00
_cell_angle_gamma 90.00
_symmetry_space_group_name_H-M 'P 4/m m m'
_symmetry_Int_Tables_number 123
_symmetry_space_group_name_Hall '-P 4 2'
loop_
_atom_site_label
_atom_site_fract_x
_atom_site_fract_y
_atom_site_fract_z
Ce1 0.0000 0.0000 0.0000
Er1 0.5000 0.5000 0.2680
Cd1 0.0000 0.0000 0.5000
# Energy relative to the lowest polymorph listed for this composition in eV/atom: 0.000
# Calculated total energy in eV per formula unit: -16.4
# Energy of formation from the pure elements in eV per atom: -0.108
# N(E_F) in states/eV/atom: 1.863
# Crystal system: tetragonal
# Calculated density in g/cm³: 8.83

# 7
# Rb6I2Br3O, relaxed, DFT PBE-GGA
data_Rb6I2Br3O
_cell_length_a 8.7439
_cell_length_b 14.8189
_cell_length_c 8.6040
_cell_angle_alpha 90.00
_cell_angle_beta 108.99
_cell_angle_gamma 90.00
_symmetry_space_group_name_H-M 'C 1 2/m 1'
_symmetry_Int_Tables_number 12
_symmetry_space_group_name_Hall '-C 2y'
loop_
_atom_site_label
_atom_site_fract_x
_atom_site_fract_y
_atom_site_fract_z
Rb1 0.2061 0.0000 0.2740
Rb2 0.2441 0.1531 0.7597
I1 0.0000 0.3299 0.5000
Br1 0.0000 0.1680 0.0000
Br2 0.0000 0.5000 0.0000
O1 0.0000 0.0000 0.5000
# Calculated total energy in eV per formula unit: -36.1
# Crystal system: monoclinic
# ΔE_f (raw) in kJ/mol of atoms: -138
# Calculated density in g/cm³: 3.22

# 8
# PrGaGe2Pd, relaxed, DFT PBE-GGA
data_PrGaGe2Pd
_cell_length_a 4.2008
_cell_length_b 4.2008
_cell_length_c 11.2486
_cell_angle_alpha 90.00
_cell_angle_beta 90.00
_cell_angle_gamma 90.00
_symmetry_space_group_name_H-M 'I -4 m 2'
_symmetry_Int_Tables_number 119
_symmetry_space_group_name_Hall 'I -4 -2'
loop_
_atom_site_label
_atom_site_fract_x
_atom_site_fract_y
_atom_site_fract_z
Pr1 0.0000 0.0000 0.0000
Ga1 0.0000 0.5000 0.7500
Ge1 0.0000 0.0000 0.3867
Pd1 0.0000 0.5000 0.2500
# Calculated total energy in eV per formula unit: -25.3
# Energy of formation from the pure elements in eV per atom: -0.613
# N(E_F) in states/eV/atom: 0.464
# Crystal system: tetragonal
# Calculated density in g/cm³: 7.74

# 9
# Sc4CuSe3, relaxed, DFT PBE-GGA
data_Sc4CuSe3
_cell_length_a 6.7863
_cell_length_b 7.7054
_cell_length_c 6.5767
_cell_angle_alpha 90.00
_cell_angle_beta 109.54
_cell_angle_gamma 90.00
_symmetry_space_group_name_H-M 'P 1 2/c 1'
_symmetry_Int_Tables_number 13
_symmetry_space_group_name_Hall '-P 2yc'
loop_
_atom_site_label
_atom_site_fract_x
_atom_site_fract_y
_atom_site_fract_z
Sc1 0.2397 0.1364 0.4925
Sc2 0.2449 0.3762 0.0014
Cu1 0.0000 0.3831 0.2500
Se1 0.0000 0.1226 0.7500
Se2 0.5000 0.1180 0.2500
Se3 0.5000 0.3748 0.7500
# Calculated total energy in eV per formula unit: -49.8
# N(E_F) in states/eV/atom: 0.637
# Crystal system: monoclinic
# ΔE_f (raw) in kJ/mol of atoms: -119
# Calculated density in g/cm³: 4.92

# 10
# CaRe2Pt, relaxed, DFT PBE-GGA
data_CaRe2Pt
_cell_length_a 2.8435
_cell_length_b 3.8433
_cell_length_c 6.7023
_cell_angle_alpha 90.00
_cell_angle_beta 90.00
_cell_angle_gamma 90.00
_symmetry_space_group_name_H-M 'P m m 2'
_symmetry_Int_Tables_number 25
_symmetry_space_group_name_Hall 'P 2 -2'
loop_
_atom_site_label
_atom_site_fract_x
_atom_site_fract_y
_atom_site_fract_z
Ca1 0.0000 0.0000 0.0000
Re1 0.0000 0.0000 0.5085
Re2 0.5000 0.5000 0.6707
Pt1 0.5000 0.5000 0.2676
# Energy relative to the lowest polymorph listed for this composition in eV/atom: 0.068
# Calculated total energy in eV per formula unit: -32.3
# Energy of formation from the pure elements in eV per atom: 0.158
# N(E_F) in states/eV/atom: 0.911
# Crystal system: orthorhombic
# Calculated density in g/cm³: 13.77

# 11
# ThB4Ru4, relaxed, DFT PBE-GGA
data_ThB4Ru4
_cell_length_a 5.4282
_cell_length_b 5.4282
_cell_length_c 7.4196
_cell_angle_alpha 90.00
_cell_angle_beta 90.00
_cell_angle_gamma 90.00
_symmetry_space_group_name_H-M 'P 42/n m c'
_symmetry_Int_Tables_number 137
loop_
_symmetry_equiv_pos_as_xyz
'x,y,z'
'-x,-y,-z'
'-y+1/2,x,z+1/2'
'y+1/2,-x,-z+1/2'
'-x+1/2,-y+1/2,z'
'x+1/2,y+1/2,-z'
'y,-x+1/2,z+1/2'
'-y,x+1/2,-z+1/2'
'x+1/2,-y,-z'
'-x+1/2,y,z'
'-y,-x,-z+1/2'
'y,x,z+1/2'
'-x,y+1/2,-z'
'x,-y+1/2,z'
'y+1/2,x+1/2,-z+1/2'
'-y+1/2,-x+1/2,z+1/2'
loop_
_atom_site_label
_atom_site_fract_x
_atom_site_fract_y
_atom_site_fract_z
Th1 0.2500 0.7500 0.2500
B1 0.0790 0.2500 0.0969
Ru1 0.0064 0.7500 0.6132
# Energy relative to the lowest polymorph listed for this composition in eV/atom: 0.036
# Calculated total energy in eV per formula unit: -75.9
# Energy of formation from the pure elements in eV per atom: -0.515
# N(E_F) in states/eV/atom: 0.501
# Crystal system: tetragonal
# Calculated density in g/cm³: 10.32

# 12
# MnMoRh2, relaxed, DFT PBE-GGA
data_MnMoRh2
_cell_length_a 3.8133
_cell_length_b 3.8133
_cell_length_c 7.8166
_cell_angle_alpha 90.00
_cell_angle_beta 90.00
_cell_angle_gamma 90.00
_symmetry_space_group_name_H-M 'I -4 m 2'
_symmetry_Int_Tables_number 119
_symmetry_space_group_name_Hall 'I -4 -2'
loop_
_atom_site_label
_atom_site_fract_x
_atom_site_fract_y
_atom_site_fract_z
Mn1 0.0000 0.0000 0.0000
Mo1 0.0000 0.5000 0.7500
Rh1 0.0000 0.0000 0.5000
Rh2 0.0000 0.5000 0.2500
# Energy relative to the lowest polymorph listed for this composition in eV/atom: 0.065
# Calculated total energy in eV per formula unit: -35.1
# Energy of formation from the pure elements in eV per atom: -0.096
# N(E_F) in states/eV/atom: 1.282
# Crystal system: tetragonal
# Calculated density in g/cm³: 10.42